SmErCu2Ge2 | Alexandria via LeMat-Bulk | PBE-GGA | optimized geometry; calculated formation energy = -0.6815 eV/atom
1.0
4.254 0.000 0.000
-2.127 3.684 0.000
0.000 0.000 7.467
Sm Er Cu Ge
1 1 2 2
Direct
0.000 0.000 0.000
0.000 0.000 0.500
0.333 0.667 0.732
0.667 0.333 0.268
0.333 0.667 0.258
0.667 0.333 0.742

SmEr2Cu2Ge2 | Alexandria via LeMat-Bulk | PBE-GGA | optimized geometry; calculated formation energy = -0.4880 eV/atom
1.0
2.147 1.239 9.296
-2.147 1.239 9.296
0.000 -2.479 9.296
Sm Er Cu Ge
1 2 2 2
Direct
0.000 0.000 0.000
0.127 0.127 0.127
0.873 0.873 0.873
0.403 0.403 0.403
0.597 0.597 0.597
0.261 0.261 0.261
0.739 0.739 0.739

TbErCu2Ge2 | Alexandria via LeMat-Bulk | PBE-GGA | optimized geometry; calculated formation energy = -0.6856 eV/atom
1.0
4.235 0.000 0.000
-2.117 3.667 0.000
0.000 0.000 7.380
Tb Er Cu Ge
1 1 2 2
Direct
0.000 0.000 0.000
0.000 0.000 0.500
0.333 0.667 0.742
0.667 0.333 0.258
0.333 0.667 0.253
0.667 0.333 0.747

TbEr2Cu2Ge2 | Alexandria via LeMat-Bulk | PBE-GGA | optimized geometry; calculated formation energy = -0.4904 eV/atom
1.0
2.095 1.210 9.999
-2.095 1.210 9.999
0.000 -2.419 9.999
Tb Er Cu Ge
1 2 2 2
Direct
0.000 0.000 0.000
0.123 0.123 0.123
0.877 0.877 0.877
0.395 0.395 0.395
0.605 0.605 0.605
0.268 0.268 0.268
0.732 0.732 0.732

Tb2ErCu2Ge2 | Alexandria via LeMat-Bulk | PBE-GGA | optimized geometry; calculated formation energy = -0.5020 eV/atom
1.0
2.098 1.212 10.082
-2.098 1.212 10.082
0.000 -2.423 10.082
Tb Er Cu Ge
2 1 2 2
Direct
0.121 0.121 0.121
0.879 0.879 0.879
0.000 0.000 0.000
0.391 0.391 0.391
0.609 0.609 0.609
0.271 0.271 0.271
0.729 0.729 0.729

ErCuTcGe2 | Alexandria via LeMat-Bulk | PBE-GGA | optimized geometry; calculated formation energy = -0.3796 eV/atom
1.0
-2.019 2.019 5.371
2.019 -2.019 5.371
2.019 2.019 -5.371
Er Cu Tc Ge
1 1 1 2
Direct
0.000 0.000 0.000
0.750 0.250 0.500
0.250 0.750 0.500
0.381 0.381 0.000
0.619 0.619 0.000

Er8CuGe3Te4 | Alexandria via LeMat-Bulk | PBE-GGA | optimized geometry; raw formation energy = -1.021 eV per atom
1.0
7.248 -4.185 0.000
7.248 4.185 0.000
-4.833 0.000 7.033
Er Cu Ge Te
8 1 3 4
Direct
0.237 0.742 0.721
0.239 0.239 0.718
0.257 0.257 0.277
0.258 0.763 0.279
0.742 0.237 0.721
0.743 0.743 0.723
0.761 0.761 0.282
0.763 0.258 0.279
0.500 0.500 0.500
0.000 0.000 0.500
0.000 0.500 0.500
0.500 0.000 0.500
0.000 0.000 0.000
0.000 0.500 0.000
0.500 0.000 0.000
0.500 0.500 0.000

ErThCuGe | Alexandria via LeMat-Bulk | PBE-GGA | optimized geometry; calculated formation energy = -0.3846 eV/atom
1.0
0.000 3.564 3.564
3.564 0.000 3.564
3.564 3.564 0.000
Er Th Cu Ge
1 1 1 1
Direct
0.000 0.000 0.000
0.500 0.500 0.500
0.250 0.250 0.250
0.750 0.750 0.750

Number 1: size of the total moment 0.00 μB per formula unit, electronic total energy -5.133 eV/atom. Number 2: size of the total moment 0.00 μB per formula unit, electronic total energy -4.955 eV/atom. Number 3: size of the total moment 0.00 μB per formula unit, electronic total energy -5.122 eV/atom. Number 4: size of the total moment 0.00 μB per formula unit, electronic total energy -4.945 eV/atom. Number 5: size of the total moment 0.00 μB per formula unit, electronic total energy -4.966 eV/atom. Number 6: size of the total moment 0.00 μB per formula unit, electronic total energy -6.032 eV/atom. Number 7: size of the total moment 0.00 μB per formula unit, electronic total energy -5.210 eV/atom. Number 8: size of the total moment 0.00 μB per formula unit, electronic total energy -5.559 eV/atom.